An optimized crystal structure of Li2NbCl6, computed with PBE-GGA.

Calculated values
Magnetic moment, μB/atom: 0.111
Energy above the most stable polymorph in this dataset, eV/atom: 0.000
Formation energy (no corrections), eV per atom: -1.462
SG: No. 14
VASP energy, eV per atom: -4.238

The structure in POSCAR format:
```
Li2NbCl6
1.0
-3.872 2.128 4.211
-0.838 -5.937 2.229
8.216 1.405 6.844
Li Nb Cl
4 2 12
Direct
0.501 0.000 0.173 Li
0.001 0.500 0.327 Li
0.999 0.500 0.673 Li
0.499 0.000 0.827 Li
0.500 0.500 0.000 Nb
0.000 0.000 0.500 Nb
0.227 0.160 0.660 Cl
0.229 0.160 0.341 Cl
0.278 0.182 0.000 Cl
0.778 0.318 0.500 Cl
0.729 0.340 0.159 Cl
0.727 0.340 0.840 Cl
0.773 0.840 0.340 Cl
0.771 0.840 0.659 Cl
0.722 0.818 0.000 Cl
0.222 0.682 0.500 Cl
0.271 0.660 0.841 Cl
0.273 0.660 0.160 Cl
```

=====

An optimized crystal structure of Hg2IrPt, computed with PBE-GGA.

Calculated values
Magnetic moment, μB/atom: 0.000
Energy above the most stable polymorph in this dataset, eV/atom: 0.146
SG: No. 216
VASP energy, eV per atom: -3.410
Energy of formation from the pure elements, eV per atom: 0.466

The structure in POSCAR format:
```
Hg2IrPt
1.0
-3.746 -1.465 2.370
0.447 -1.430 4.422
-1.723 2.594 3.478
Hg Ir Pt
2 1 1
Direct
0.000 0.000 0.000 Hg
0.250 0.250 0.250 Hg
0.500 0.500 0.500 Ir
0.750 0.750 0.750 Pt
```

=====

An optimized crystal structure of Tc2BRu, computed with PBE-GGA.

Calculated values
Magnetic moment, μB/atom: 0.000
Energy above the most stable polymorph in this dataset, eV/atom: 0.154
SG: No. 123
VASP energy, eV per atom: -9.239
Energy of formation from the pure elements, eV per atom: -0.068

The structure in POSCAR format:
```
Tc2BRu
1.0
2.733 0.000 0.000
0.000 2.733 0.000
0.000 0.000 6.514
Ru B Tc
1 1 2
Direct
0.500 0.500 0.500 Ru
0.500 0.500 0.000 B
0.000 0.000 0.798 Tc
0.000 0.000 0.202 Tc
```